Here is an optimized crystal structure of EuTm2Fe from Alexandria. Energies are from GGA-PBE.

Computed properties:
formation energy from the elements = 0.0462 eV/atom
space-group type = P4/mmm
calculated density = 8.729 g/cm³
total moment = 7.531 μB per formula unit
N(E_F) = 0.651 states/eV/atom

a b c (Å): 3.341 3.341 9.298
angles (deg): 90.00 90.00 90.00
Sites, in units of the cell vectors:
Eu  0.000  0.000  0.000
Tm  0.500  0.500  0.331
Tm  0.500  0.500  0.669
Fe  0.000  0.000  0.500

Here is an optimized crystal structure of TiAlOs from Alexandria. Energies are from GGA-PBE.

Computed properties:
formation energy from the elements = -0.4289 eV/atom
space-group type = P3m1
calculated density = 9.803 g/cm³
total moment = 0.000 μB per formula unit
N(E_F) = 1.061 states/eV/atom

a b c (Å): 4.292 4.292 2.815
angles (deg): 90.00 90.00 120.00
Sites, in units of the cell vectors:
Ti  0.000  0.000  0.000
Al  0.333  0.667  0.420
Os  0.667  0.333  0.705

Here is an optimized crystal structure of Cr3GeN from Alexandria. Energies are from GGA-PBE.

Computed properties:
space-group type = Pm-3m
ΔE to the lowest computed polymorph = 2077 meV/atom
calculated density = 3.740 g/cm³
total moment = 11.000 μB per formula unit
N(E_F) = 0.486 states/eV/atom
uncorrected formation energy = 9.01 eV per formula unit

a b c (Å): 4.758 4.758 4.758
angles (deg): 90.00 90.00 90.00
Sites, in units of the cell vectors:
Cr  0.000  0.000  0.500
Cr  0.000  0.500  0.000
Cr  0.500  0.000  0.000
Ge  0.000  0.000  0.000
N  0.500  0.500  0.500

Here is an optimized crystal structure of LiTl2Cd from Alexandria. Energies are from GGA-PBE.

Computed properties:
formation energy from the elements = -0.0582 eV/atom
space-group type = Immm
calculated density = 8.754 g/cm³
total moment = 0.000 μB per formula unit
N(E_F) = 0.330 states/eV/atom

a b c (Å): 5.771 5.771 5.771
angles (deg): 139.86 124.53 70.65
Sites, in units of the cell vectors:
Li  0.000  0.000  0.000
Tl  0.236  0.736  0.500
Tl  0.764  0.264  0.500
Cd  0.500  0.500  0.000

Here is an optimized crystal structure of Sr3ReGe from Alexandria. Energies are from GGA-PBE.

Computed properties:
formation energy from the elements = 0.8314 eV/atom
space-group type = Pm-3m
ΔE to the lowest computed polymorph = 0 meV/atom
calculated density = 4.660 g/cm³
total moment = 1.433 μB per formula unit
N(E_F) = 1.277 states/eV/atom

a b c (Å): 5.707 5.707 5.707
angles (deg): 90.00 90.00 90.00
Sites, in units of the cell vectors:
Sr  0.000  0.000  0.500
Sr  0.000  0.500  0.000
Sr  0.500  0.000  0.000
Re  0.000  0.000  0.000
Ge  0.500  0.500  0.500

Here is an optimized crystal structure of CdIn2Ga from Alexandria. Energies are from GGA-PBE.

Computed properties:
formation energy from the elements = 0.0877 eV/atom
space-group type = R-3m
calculated density = 6.950 g/cm³
total moment = 0.000 μB per formula unit
N(E_F) = 0.469 states/eV/atom

a b c (Å): 11.545 11.545 11.545
angles (deg): 15.72 15.72 15.72
Sites, in units of the cell vectors:
Cd  0.000  0.000  0.000
In  0.415  0.415  0.415
In  0.585  0.585  0.585
Ga  0.500  0.500  0.500

Here is an optimized crystal structure of LaTlBi2H from Alexandria. Energies are from GGA-PBE.

Computed properties:
space-group type = P4/mmm
energy = -3.946 eV per atom
calculated density = 9.873 g/cm³
total moment = 0.000 μB per formula unit
N(E_F) = 0.534 states/eV/atom

a b c (Å): 5.212 5.212 4.719
angles (deg): 90.00 90.00 90.00
Sites, in units of the cell vectors:
La  0.000  0.000  0.000
Tl  0.500  0.500  0.000
Bi  0.000  0.500  0.500
Bi  0.500  0.000  0.500
H  0.000  0.000  0.500